Entry 1:
## Na3Ac2NdO6 (PBE-GGA)

Data for a geometry-optimized Na3Ac2NdO6 structure.

a b c (Å): 6.494 6.494 6.061
angles (deg): 99.93 99.93 120.28
Positions (direct):
1 Na 0.000 0.000 0.000
2 Na 0.347 0.653 0.000
3 Na 0.653 0.347 0.000
4 Ac 0.167 0.833 0.500
5 Ac 0.833 0.167 0.500
6 Nd 0.500 0.500 0.500
7 O 0.109 0.429 0.282
8 O 0.250 0.250 0.719
9 O 0.429 0.109 0.282
10 O 0.571 0.891 0.718
11 O 0.750 0.750 0.281
12 O 0.891 0.571 0.718

Values from the calculation:
- formation energy without anion corrections (eV/atom) = -2.55
- SG = No. 12
- total magnetic moment (μB/f.u.) = 0.0

---

Entry 2:
## NaAc3Nd3S8 (PBE-GGA)

Data for a geometry-optimized NaAc3Nd3S8 structure.

a b c (Å): 8.369 8.369 8.369
angles (deg): 59.35 59.35 59.35
Positions (direct):
1 Na 0.000 0.000 0.000
2 Ac 0.000 0.000 0.500
3 Ac 0.000 0.500 0.000
4 Ac 0.500 0.000 0.000
5 Nd 0.000 0.500 0.500
6 Nd 0.500 0.000 0.500
7 Nd 0.500 0.500 0.000
8 S 0.247 0.247 0.744
9 S 0.247 0.744 0.247
10 S 0.255 0.255 0.255
11 S 0.256 0.753 0.753
12 S 0.744 0.247 0.247
13 S 0.745 0.745 0.745
14 S 0.753 0.256 0.753
15 S 0.753 0.753 0.256

Values from the calculation:
- formation energy without anion corrections (eV/atom) = -1.96
- SG = No. 166
- total magnetic moment (μB/f.u.) = 0.0

---

Entry 3:
## Na3AcNd2S6 (PBE-GGA)

Data for a geometry-optimized Na3AcNd2S6 structure.

a b c (Å): 7.302 7.302 7.124
angles (deg): 99.82 99.82 120.02
Positions (direct):
1 Na 0.000 0.000 0.000
2 Na 0.332 0.668 0.000
3 Na 0.668 0.332 0.000
4 Ac 0.500 0.500 0.500
5 Nd 0.167 0.833 0.500
6 Nd 0.833 0.167 0.500
7 S 0.077 0.422 0.266
8 S 0.234 0.234 0.737
9 S 0.422 0.077 0.266
10 S 0.578 0.923 0.734
11 S 0.766 0.766 0.263
12 S 0.923 0.578 0.734

Values from the calculation:
- formation energy without anion corrections (eV/atom) = -1.80
- SG = No. 12
- total magnetic moment (μB/f.u.) = 0.0

---

Entry 4:
## Na2AcNdS4 (PBE-GGA)

Data for a geometry-optimized Na2AcNdS4 structure.

a b c (Å): 7.131 4.252 7.377
angles (deg): 90.00 110.13 90.00
Positions (direct):
1 Na 0.000 0.000 0.000
2 Na 0.000 0.500 0.500
3 Ac 0.500 0.000 0.500
4 Nd 0.500 0.500 0.000
5 S 0.261 0.500 0.243
6 S 0.266 0.000 0.765
7 S 0.734 0.000 0.235
8 S 0.739 0.500 0.757

Values from the calculation:
- formation energy without anion corrections (eV/atom) = -1.80
- SG = No. 10
- total magnetic moment (μB/f.u.) = 0.0

---

Entry 5:
## NaAcNd2S4 (PBE-GGA)

Data for a geometry-optimized NaAcNd2S4 structure.

a b c (Å): 7.096 4.128 7.295
angles (deg): 90.00 109.02 90.00
Positions (direct):
1 Na 0.000 0.000 0.000
2 Ac 0.500 0.500 0.000
3 Nd 0.000 0.500 0.500
4 Nd 0.500 0.000 0.500
5 S 0.241 0.000 0.740
6 S 0.252 0.500 0.260
7 S 0.748 0.500 0.740
8 S 0.759 0.000 0.260

Values from the calculation:
- formation energy without anion corrections (eV/atom) = -1.91
- SG = No. 10
- total magnetic moment (μB/f.u.) = 0.0

---

Entry 6:
## Na2AcNd3Se6 (PBE-GGA)

Data for a geometry-optimized Na2AcNd3Se6 structure.

a b c (Å): 7.362 7.362 7.580
angles (deg): 99.31 99.31 120.00
Positions (direct):
1 Na 0.167 0.833 0.000
2 Na 0.833 0.167 0.000
3 Ac 0.500 0.500 0.000
4 Nd 0.000 0.000 0.500
5 Nd 0.333 0.667 0.500
6 Nd 0.667 0.333 0.500
7 Se 0.077 0.414 0.743
8 Se 0.249 0.249 0.258
9 Se 0.414 0.077 0.743
10 Se 0.586 0.923 0.257
11 Se 0.751 0.751 0.742
12 Se 0.923 0.586 0.257

Values from the calculation:
- formation energy without anion corrections (eV/atom) = -1.75
- SG = No. 12
- total magnetic moment (μB/f.u.) = 0.0

---

Entry 7:
## Na4Ac3NdSe8 (PBE-GGA)

Data for a geometry-optimized Na4Ac3NdSe8 structure.

a b c (Å): 8.699 8.699 8.699
angles (deg): 61.76 61.76 61.76
Positions (direct):
1 Na 0.000 0.000 0.000
2 Na 0.000 0.500 0.500
3 Na 0.500 0.000 0.500
4 Na 0.500 0.500 0.000
5 Ac 0.000 0.000 0.500
6 Ac 0.000 0.500 0.000
7 Ac 0.500 0.000 0.000
8 Nd 0.500 0.500 0.500
9 Se 0.249 0.249 0.249
10 Se 0.257 0.742 0.742
11 Se 0.258 0.258 0.743
12 Se 0.258 0.743 0.258
13 Se 0.742 0.257 0.742
14 Se 0.742 0.742 0.257
15 Se 0.743 0.258 0.258
16 Se 0.751 0.751 0.751

Values from the calculation:
- formation energy without anion corrections (eV/atom) = -1.71
- SG = No. 166
- total magnetic moment (μB/f.u.) = 0.0

---

Entry 8:
## NaAc2Nd3Se6 (PBE-GGA)

Data for a geometry-optimized NaAc2Nd3Se6 structure.

a b c (Å): 7.448 7.448 7.560
angles (deg): 99.48 99.48 120.10
Positions (direct):
1 Na 0.000 0.000 0.000
2 Ac 0.334 0.666 0.000
3 Ac 0.666 0.334 0.000
4 Nd 0.165 0.835 0.500
5 Nd 0.500 0.500 0.500
6 Nd 0.835 0.165 0.500
7 Se 0.086 0.413 0.260
8 Se 0.239 0.239 0.743
9 Se 0.413 0.086 0.260
10 Se 0.587 0.914 0.740
11 Se 0.761 0.761 0.257
12 Se 0.914 0.587 0.740

Values from the calculation:
- formation energy without anion corrections (eV/atom) = -1.80
- SG = No. 12
- total magnetic moment (μB/f.u.) = 0.0

---

Among the records above, which one has the lowest formation energy without anion corrections? Na3Ac2NdO6